No. 1
! GGA-PBE Pu2Be3Si4Ag, optimized geometry; values from VASP
&SYSTEM
  ibrav = 0, nat = 10, ntyp = 4
/
ATOMIC_SPECIES
Si 28.09 Si.upf
Pu 244.00 Pu.upf
Ag 107.87 Ag.upf
Be 9.01 Be.upf
ATOMIC_POSITIONS angstrom
Si 0.000 0.000 0.000
Si -2.417 1.835 2.568
Si -4.386 5.045 0.939
Pu -4.257 5.302 3.948
Si -2.422 -1.374 0.221
Ag -4.613 2.753 1.864
Be -1.436 -0.013 1.832
Pu -2.546 1.578 -0.441
Be -5.367 6.894 1.675
Be -2.190 4.127 1.643
CELL_PARAMETERS angstrom
-3.062 -0.668 -2.405
-1.783 -2.080 2.847
-4.381 8.254 3.286
! N(E_F) = 16.72 states/eV/cell
! Formation energy without anion corrections = -2.56 eV per formula unit
! SG = No. 115
! Volume = 15.46 A^3/atom

=====

No. 2
! GGA-PBE BeTlPCl2, optimized geometry; values from VASP
&SYSTEM
  ibrav = 0, nat = 5, ntyp = 4
/
ATOMIC_SPECIES
Tl 204.38 Tl.upf
Cl 35.45 Cl.upf
Be 9.01 Be.upf
P 30.97 P.upf
ATOMIC_POSITIONS angstrom
Tl 0.000 0.000 0.000
Cl 2.699 0.000 0.000
Cl 0.000 2.699 0.000
Be 2.699 2.699 2.682
P 0.000 0.000 2.682
CELL_PARAMETERS angstrom
5.399 0.000 0.000
0.000 5.399 0.000
0.000 0.000 5.363
! N(E_F) = 2.30 states/eV/cell
! Formation energy without anion corrections = 3.89 eV per formula unit
! SG = No. 123
! Energy relative to the lowest polymorph listed for this composition = 965.8 meV/atom
! Volume = 31.27 A^3/atom

=====

No. 3
! GGA-PBE Ce2Co3C2, optimized geometry; values from VASP
&SYSTEM
  ibrav = 0, nat = 7, ntyp = 3
/
ATOMIC_SPECIES
Co 58.93 Co.upf
Ce 140.12 Ce.upf
C 12.01 C.upf
ATOMIC_POSITIONS angstrom
Co 0.000 1.736 3.589
Ce 1.738 3.200 1.136
Co 1.738 0.728 2.337
Co 1.738 0.000 0.000
Ce 0.000 -0.736 4.789
C 0.000 1.299 1.689
C 1.738 1.165 4.236
CELL_PARAMETERS angstrom
3.476 0.000 0.000
-1.738 4.688 -0.071
0.000 -2.223 5.997
! N(E_F) = 5.70 states/eV/cell
! SG = No. 12
! ΔE_f = -33 meV/atom
! Volume = 13.88 A^3/atom

=====

No. 4
! GGA-PBE PPdRu, optimized geometry; values from VASP
&SYSTEM
  ibrav = 0, nat = 12, ntyp = 3
/
ATOMIC_SPECIES
Ru 101.07 Ru.upf
P 30.97 P.upf
Pd 106.42 Pd.upf
ATOMIC_POSITIONS angstrom
Ru 1.895 -3.215 -3.785
P 1.379 -5.927 -2.358
Pd 0.491 -3.206 1.500
Pd 2.508 -4.887 2.062
P 2.316 -2.348 -1.720
Ru -0.694 -5.753 0.799
P -0.178 -3.041 -0.628
Ru 1.928 -4.423 -0.737
Pd 0.710 -5.762 -4.486
P -1.115 -6.620 -1.266
Pd -1.307 -4.081 -5.048
Ru -0.727 -4.545 -2.249
CELL_PARAMETERS angstrom
-0.876 -4.358 3.035
-2.396 -3.434 -5.622
4.473 -1.176 -0.398
! N(E_F) = 8.88 states/eV/cell
! SG = No. 14
! ΔE_f = -291 meV/atom
! Volume = 14.46 A^3/atom

=====

No. 5
! GGA-PBE Sn3AsF, optimized geometry; values from VASP
&SYSTEM
  ibrav = 0, nat = 5, ntyp = 3
/
ATOMIC_SPECIES
As 74.92 As.upf
Sn 118.71 Sn.upf
F 19.00 F.upf
ATOMIC_POSITIONS angstrom
As 0.000 0.000 0.000
Sn 0.000 0.000 2.752
Sn 2.752 0.000 0.000
Sn 0.000 2.752 0.000
F 2.752 2.752 2.752
CELL_PARAMETERS angstrom
5.505 0.000 0.000
0.000 5.505 0.000
0.000 0.000 5.505
! N(E_F) = 3.19 states/eV/cell
! Formation energy without anion corrections = 1.00 eV per formula unit
! SG = No. 221
! Energy relative to the lowest polymorph listed for this composition = 411.6 meV/atom
! Volume = 33.36 A^3/atom

=====

No. 6
! GGA-PBE Rb4PrNp3Se8, optimized geometry; values from VASP
&SYSTEM
  ibrav = 0, nat = 16, ntyp = 4
/
ATOMIC_SPECIES
Rb 85.47 Rb.upf
Np 237.00 Np.upf
Se 78.96 Se.upf
Pr 140.91 Pr.upf
ATOMIC_POSITIONS angstrom
Rb 0.000 0.000 0.000
Np 3.778 -2.765 0.562
Np 3.494 -3.998 -3.583
Se 5.834 0.673 3.890
Rb 0.284 1.233 4.145
Rb -0.154 -2.965 3.157
Rb -0.438 -4.198 -0.988
Se 5.555 -0.537 -0.178
Np 4.216 1.434 1.551
Se 5.404 -3.448 2.919
Se 1.722 -6.202 -2.765
Pr 3.932 0.201 -2.595
Se 2.001 -4.992 1.303
Se 5.069 -4.721 -1.210
Se 2.152 -2.082 -1.795
Se 2.486 -0.809 2.335
CELL_PARAMETERS angstrom
-0.876 -8.396 -1.977
7.864 0.401 -5.189
0.567 2.466 8.291
! N(E_F) = 25.21 states/eV/cell
! Formation energy without anion corrections = -21.69 eV per formula unit
! SG = No. 166
! Volume = 32.51 A^3/atom

=====

No. 7
! GGA-PBE LaTbTmLu, optimized geometry; values from VASP
&SYSTEM
  ibrav = 0, nat = 4, ntyp = 4
/
ATOMIC_SPECIES
Lu 174.97 Lu.upf
La 138.91 La.upf
Tm 168.93 Tm.upf
Tb 158.93 Tb.upf
ATOMIC_POSITIONS angstrom
Lu 0.000 0.000 0.000
La 2.844 1.642 1.161
Tm 5.688 3.284 2.322
Tb 8.531 4.926 3.483
CELL_PARAMETERS angstrom
5.688 0.000 0.000
2.844 4.926 0.000
2.844 1.642 4.644
! N(E_F) = 5.69 states/eV/cell
! SG = No. 216
! ΔE_f = 87 meV/atom
! Volume = 32.52 A^3/atom

=====

No. 8
! GGA-PBE K2YI, optimized geometry; values from VASP
&SYSTEM
  ibrav = 0, nat = 4, ntyp = 3
/
ATOMIC_SPECIES
K 39.10 K.upf
Y 88.91 Y.upf
I 126.90 I.upf
ATOMIC_POSITIONS angstrom
K -0.814 -2.408 3.100
Y 0.000 0.000 0.000
I -1.628 -4.815 6.200
K -2.442 -7.223 9.301
CELL_PARAMETERS angstrom
2.607 -3.885 4.579
-2.711 -0.322 5.950
-3.151 -5.424 1.872
! N(E_F) = 7.03 states/eV/cell
! Formation energy without anion corrections = 0.78 eV per formula unit
! SG = No. 225
! Energy relative to the lowest polymorph listed for this composition = 179.2 meV/atom
! Volume = 49.59 A^3/atom

=====

No. 9
! GGA-PBE CaP3Ir, optimized geometry; values from VASP
&SYSTEM
  ibrav = 0, nat = 5, ntyp = 3
/
ATOMIC_SPECIES
P 30.97 P.upf
Ca 40.08 Ca.upf
Ir 192.22 Ir.upf
ATOMIC_POSITIONS angstrom
P -1.041 0.563 -2.167
Ca 0.000 0.000 0.000
Ir -3.050 -2.283 -1.941
P -2.228 -0.494 0.942
P 0.219 -2.352 -0.716
CELL_PARAMETERS angstrom
-2.081 1.125 -4.333
0.437 -4.705 -1.431
-4.456 -0.987 1.883
! N(E_F) = 5.66 states/eV/cell
! SG = No. 221
! ΔE_f = 1913 meV/atom
! Energy relative to the lowest polymorph listed for this composition = 1785.5 meV/atom
! Volume = 24.07 A^3/atom

=====

No. 10
! GGA-PBE Cr2InAg, optimized geometry; values from VASP
&SYSTEM
  ibrav = 0, nat = 4, ntyp = 3
/
ATOMIC_SPECIES
Cr 52.00 Cr.upf
In 114.82 In.upf
Ag 107.87 Ag.upf
ATOMIC_POSITIONS angstrom
Cr 2.309 1.333 0.943
Cr 0.000 0.000 0.000
In 6.928 4.000 2.828
Ag 4.618 2.666 1.885
CELL_PARAMETERS angstrom
4.618 0.000 0.000
2.309 4.000 0.000
2.309 1.333 3.771
! N(E_F) = 2.24 states/eV/cell
! SG = No. 216
! ΔE_f = 354 meV/atom
! Volume = 17.41 A^3/atom